# PBE-GGA Ca2GeF8, relaxed
data_Ca2GeF8
_symmetry_space_group_name_H-M 'P -3 m 1'
_symmetry_Int_Tables_number 164
_symmetry_space_group_name_Hall '-P 3 2"'
_cell_length_a 6.5348
_cell_length_b 6.5348
_cell_length_c 4.4605
_cell_angle_alpha 90.00
_cell_angle_beta 90.00
_cell_angle_gamma 120.00
loop_
_atom_site_label
_atom_site_fract_x
_atom_site_fract_y
_atom_site_fract_z
Ca1 0.3333 0.6667 0.2470
Ge1 0.0000 0.0000 0.0000
F1 0.1336 0.2673 0.2302
F2 0.3333 0.6667 0.7451
# **DOS at the Fermi energy**: 0.0 states/eV per cell
# **E**: -5.32 eV/atom
# **Size of the total moment**: 0.184 μB/f.u.


# PBE-GGA YIr2Cl, relaxed
data_YIr2Cl
_symmetry_space_group_name_H-M 'I m m 2'
_symmetry_Int_Tables_number 44
_symmetry_space_group_name_Hall 'I 2 -2'
_cell_length_a 3.851
_cell_length_b 4.669
_cell_length_c 9.616
_cell_angle_alpha 90.00
_cell_angle_beta 90.00
_cell_angle_gamma 90.00
loop_
_atom_site_label
_atom_site_fract_x
_atom_site_fract_y
_atom_site_fract_z
Y1 0.000 0.000 0.000
Ir1 0.000 0.000 0.516
Ir2 0.000 0.500 0.174
Cl1 0.000 0.500 0.832
# **DOS at the Fermi energy**: 4.6 states/eV per cell
# **Energy above the most stable polymorph in this dataset**: 0.4474 eV/atom
# **Size of the total moment**: 0.000 μB/f.u.


# PBE-GGA MoRh2, relaxed
data_MoRh2
_symmetry_space_group_name_H-M 'C 1 2/m 1'
_symmetry_Int_Tables_number 12
_symmetry_space_group_name_Hall '-C 2y'
_cell_length_a 10.031
_cell_length_b 2.766
_cell_length_c 6.531
_cell_angle_alpha 90.00
_cell_angle_beta 104.19
_cell_angle_gamma 90.00
loop_
_atom_site_label
_atom_site_fract_x
_atom_site_fract_y
_atom_site_fract_z
Mo1 0.030 0.000 0.303
Rh1 0.137 0.500 0.027
Rh2 0.189 0.500 0.634
# **DOS at the Fermi energy**: 12.3 states/eV per cell
# **Energy relative to the elements**: -0.18 eV/atom
# **Size of the total moment**: 0.000 μB/f.u.


# PBE-GGA La4Pr2Sm2Mg, relaxed
data_La4Pr2Sm2Mg
_symmetry_space_group_name_H-M 'P -1'
_symmetry_Int_Tables_number 2
_symmetry_space_group_name_Hall '-P 1'
_cell_length_a 6.304
_cell_length_b 6.365
_cell_length_c 8.163
_cell_angle_alpha 75.03
_cell_angle_beta 82.41
_cell_angle_gamma 80.52
loop_
_atom_site_label
_atom_site_fract_x
_atom_site_fract_y
_atom_site_fract_z
La1 0.050 0.282 0.392
La2 0.172 0.835 0.165
Pr1 0.279 0.390 0.937
Sm1 0.393 0.941 0.715
Mg1 0.500 0.500 0.500
# **DOS at the Fermi energy**: 13.0 states/eV per cell
# **Energy relative to the elements**: 0.01 eV/atom
# **Size of the total moment**: 0.000 μB/f.u.


# PBE-GGA H4Pd5Au, relaxed
data_H4Pd5Au
_symmetry_space_group_name_H-M 'P -1'
_symmetry_Int_Tables_number 2
_symmetry_space_group_name_Hall '-P 1'
_cell_length_a 2.967
_cell_length_b 5.963
_cell_length_c 6.609
_cell_angle_alpha 74.82
_cell_angle_beta 77.09
_cell_angle_gamma 89.61
loop_
_atom_site_label
_atom_site_fract_x
_atom_site_fract_y
_atom_site_fract_z
H1 0.086 0.042 0.322
H2 0.256 0.654 0.988
Pd1 0.162 0.346 0.177
Pd2 0.170 0.837 0.166
Pd3 0.500 0.000 0.500
Au1 0.500 0.500 0.500
# **DOS at the Fermi energy**: 3.8 states/eV per cell
# **Energy above the most stable polymorph in this dataset**: 0.0000 eV/atom
# **Size of the total moment**: 0.000 μB/f.u.


# PBE-GGA FeHg4Ru, relaxed
data_FeHg4Ru
_symmetry_space_group_name_H-M 'F -4 3 m'
_symmetry_Int_Tables_number 216
_symmetry_space_group_name_Hall 'F -4 2 3'
_cell_length_a 7.916
_cell_length_b 7.916
_cell_length_c 7.916
_cell_angle_alpha 90.00
_cell_angle_beta 90.00
_cell_angle_gamma 90.00
loop_
_atom_site_label
_atom_site_fract_x
_atom_site_fract_y
_atom_site_fract_z
Fe1 0.000 0.000 0.000
Hg1 0.125 0.125 0.625
Ru1 0.250 0.250 0.250
# **DOS at the Fermi energy**: 11.6 states/eV per cell
# **Energy relative to the elements**: 0.92 eV/atom
# **Size of the total moment**: 4.610 μB/f.u.


# PBE-GGA Cd3Mo, relaxed
data_Cd3Mo
_symmetry_space_group_name_H-M 'P 4/m m m'
_symmetry_Int_Tables_number 123
_symmetry_space_group_name_Hall '-P 4 2'
_cell_length_a 2.901
_cell_length_b 2.901
_cell_length_c 9.339
_cell_angle_alpha 90.00
_cell_angle_beta 90.00
_cell_angle_gamma 90.00
loop_
_atom_site_label
_atom_site_fract_x
_atom_site_fract_y
_atom_site_fract_z
Cd1 0.000 0.000 0.000
Cd2 0.500 0.500 0.266
Mo1 0.000 0.000 0.500
# **DOS at the Fermi energy**: 1.4 states/eV per cell
# **Energy above the most stable polymorph in this dataset**: 0.0255 eV/atom
# **Energy relative to the elements**: 0.30 eV/atom
# **Size of the total moment**: 0.000 μB/f.u.


# PBE-GGA ZrMnFe, relaxed
data_ZrMnFe
_symmetry_space_group_name_H-M 'P -6 m 2'
_symmetry_Int_Tables_number 187
_symmetry_space_group_name_Hall 'P -6 2'
_cell_length_a 3.9894
_cell_length_b 3.9894
_cell_length_c 3.3885
_cell_angle_alpha 90.00
_cell_angle_beta 90.00
_cell_angle_gamma 120.00
loop_
_atom_site_label
_atom_site_fract_x
_atom_site_fract_y
_atom_site_fract_z
Zr1 0.0000 0.0000 0.0000
Mn1 0.3333 0.6667 0.5000
Fe1 0.6667 0.3333 0.5000
# **DOS at the Fermi energy**: 1.9 states/eV per cell
# **Energy above the most stable polymorph in this dataset**: 0.2998 eV/atom
# **Energy relative to the elements**: 0.07 eV/atom
# **Size of the total moment**: 3.114 μB/f.u.